1.
VASP calculation (PBE) on a geometry-optimized PrTc2B6 structure.

Lattice parameters (Å, degrees): 5.7109 5.7109 5.7109 147.39 106.86 82.39
With the nearest neighbours (Å) after each atom.
Positions (direct):
Pr (0.0000, 0.0000, 0.0000)  16 B 2.90-3.11, 2 Pr 3.21
Tc (0.3384, 0.8384, 0.5000)  10 B 2.17-2.34
Tc (0.6616, 0.1616, 0.5000)  10 B 2.17-2.34
B (0.0678, 0.3076, 0.7602)  3 B 1.78-1.89
B (0.3557, 0.5000, 0.8557)  3 B 1.78-1.96
B (0.4526, 0.6924, 0.7602)  3 B 1.78-1.89
B (0.5474, 0.3076, 0.2398)  3 B 1.78-1.89
B (0.6443, 0.5000, 0.1443)  3 B 1.78-1.96
B (0.9322, 0.6924, 0.2398)  3 B 1.78-1.89

## Properties
N(E_F) = 3.5 states/eV/cell
DFT formation energy = -0.44 eV per atom
Calculated volume = 10.419 Å³/atom

2.
VASP calculation (PBE) on a geometry-optimized Zr2CuBi2 structure.

Lattice parameters (Å, degrees): 7.6100 7.6100 4.1462 90.00 90.00 90.00
With the nearest neighbours (Å) after each atom.
Positions (direct):
Zr (0.1495, 0.3505, 0.0000)  2 Cu 2.90, 6 Bi 2.94-3.12, 1 Zr 3.22
Zr (0.3505, 0.8505, 0.0000)  2 Cu 2.90, 6 Bi 2.94-3.12, 1 Zr 3.22
Zr (0.6495, 0.1495, 0.0000)  2 Cu 2.90, 6 Bi 2.94-3.12, 1 Zr 3.22
Zr (0.8505, 0.6495, 0.0000)  2 Cu 2.90, 6 Bi 2.94-3.12, 1 Zr 3.22
Cu (0.0000, 0.0000, 0.0000)  4 Zr 2.90
Cu (0.5000, 0.5000, 0.0000)  4 Zr 2.90
Bi (0.1568, 0.6568, 0.5000)  6 Zr 2.94-3.12
Bi (0.3432, 0.1568, 0.5000)  6 Zr 2.94-3.12
Bi (0.6568, 0.8432, 0.5000)  6 Zr 2.94-3.12
Bi (0.8432, 0.3432, 0.5000)  6 Zr 2.94-3.12

## Properties
N(E_F) = 11.9 states/eV/cell
DFT formation energy = -0.07 eV per atom
Energy above the lowest structure with this stoichiometry = 0 meV per atom
Calculated volume = 24.012 Å³/atom

3.
VASP calculation (PBE) on a geometry-optimized Sb2Rh2Se structure.

Lattice parameters (Å, degrees): 7.4784 7.4784 3.4582 90.00 90.00 90.00
With the nearest neighbours (Å) after each atom.
Positions (direct):
Sb (0.1539, 0.3461, 0.0000)  6 Rh 2.78-2.82
Sb (0.3461, 0.8461, 0.0000)  6 Rh 2.78-2.82
Sb (0.6539, 0.1539, 0.0000)  6 Rh 2.78-2.82
Sb (0.8461, 0.6539, 0.0000)  6 Rh 2.78-2.82
Rh (0.1359, 0.6359, 0.5000)  6 Sb 2.78-2.82, 1 Rh 2.87, 2 Se 2.91
Rh (0.3641, 0.1359, 0.5000)  6 Sb 2.78-2.82, 1 Rh 2.87, 2 Se 2.91
Rh (0.6359, 0.8641, 0.5000)  6 Sb 2.78-2.82, 1 Rh 2.87, 2 Se 2.91
Rh (0.8641, 0.3641, 0.5000)  6 Sb 2.78-2.82, 1 Rh 2.87, 2 Se 2.91
Se (0.0000, 0.0000, 0.5000)  4 Rh 2.91
Se (0.5000, 0.5000, 0.5000)  4 Rh 2.91

## Properties
N(E_F) = 7.4 states/eV/cell
E_form (uncorrected) = -0.14 eV per atom
Energy above the lowest structure with this stoichiometry = 0 meV per atom
Calculated volume = 19.340 Å³/atom

4.
VASP calculation (PBE) on a geometry-optimized BaRhW2 structure.

Lattice parameters (Å, degrees): 3.1890 3.1890 28.7119 90.00 90.00 120.00
With the nearest neighbours (Å) after each atom.
Positions (direct):
Ba (0.0000, 0.0000, 0.0000)  6 Ba 3.19, 3 Rh 3.30
Ba (0.3333, 0.6667, 0.6667)  6 Ba 3.19, 3 Rh 3.30
Ba (0.6667, 0.3333, 0.3333)  6 Ba 3.19, 3 Rh 3.30
Rh (0.0000, 0.0000, 0.7620)  3 W 2.68
Rh (0.3333, 0.6667, 0.4287)  3 W 2.68
Rh (0.6667, 0.3333, 0.0954)  3 W 2.68
W (0.0000, 0.0000, 0.2255)  3 W 2.57
W (0.0000, 0.0000, 0.4964)  3 W 2.57, 3 Rh 2.68
W (0.3333, 0.6667, 0.1630)  3 W 2.57, 3 Rh 2.68
W (0.3333, 0.6667, 0.8922)  3 W 2.57
W (0.6667, 0.3333, 0.5588)  3 W 2.57
W (0.6667, 0.3333, 0.8297)  3 W 2.57, 3 Rh 2.68

## Properties
N(E_F) = 11.5 states/eV/cell
DFT formation energy = 0.78 eV per atom
Energy above the lowest structure with this stoichiometry = 197 meV per atom
Calculated volume = 21.073 Å³/atom